(1)
First-principles (GGA-PBE) data for a relaxed Sr2CrGe3Pt4 crystal, as listed in the Alexandria database.

abc: 4.372 4.372 10.506
angles: 90.00 90.00 90.00
Element x y z (fractional)
Sr: 0.000 0.500 0.249
Sr: 0.500 0.000 0.751
Cr: 0.000 0.000 0.500
Ge: 0.000 0.500 0.873
Ge: 0.500 0.000 0.127
Ge: 0.500 0.500 0.500
Pt: 0.000 0.000 0.000
Pt: 0.000 0.500 0.634
Pt: 0.500 0.000 0.366
Pt: 0.500 0.500 0.000

Properties
formation energy: -64.7 kJ per mole of atoms
symmetry: No. 115

(2)
First-principles (GGA-PBE) data for a relaxed BePRh2 crystal, as listed in the Alexandria database.

abc: 4.872 4.872 4.872
angles: 139.04 139.04 59.32
Element x y z (fractional)
Be: 0.000 0.000 0.000
P: 0.250 0.750 0.500
Rh: 0.500 0.500 0.000
Rh: 0.750 0.250 0.500

Properties
ΔE to the lowest computed polymorph: 0.2837 eV/atom
formation energy: -27.2 kJ per mole of atoms
symmetry: No. 119

(3)
First-principles (GGA-PBE) data for a relaxed Rb2YBr6O crystal, as listed in the Alexandria database.

abc: 8.165 8.165 8.165
angles: 126.31 126.31 79.38
Element x y z (fractional)
Rb: 0.250 0.750 0.500
Rb: 0.750 0.250 0.500
Y: 0.000 0.000 0.000
Br: 0.222 0.222 0.000
Br: 0.268 0.268 0.536
Br: 0.268 0.732 0.000
Br: 0.732 0.268 0.000
Br: 0.732 0.732 0.464
Br: 0.778 0.778 0.000
O: 0.500 0.500 0.000

Properties
energy relative to the elements, uncorrected: -1.148 eV per atom
symmetry: No. 139

(4)
First-principles (GGA-PBE) data for a relaxed Sc3Sn3Os2Ru crystal, as listed in the Alexandria database.

abc: 7.638 7.638 3.352
angles: 90.00 90.00 120.00
Element x y z (fractional)
Sc: 0.000 0.390 0.000
Sc: 0.390 0.000 0.000
Sc: 0.610 0.610 0.000
Sn: 0.000 0.720 0.500
Sn: 0.280 0.280 0.500
Sn: 0.720 0.000 0.500
Os: 0.333 0.667 0.500
Os: 0.667 0.333 0.500
Ru: 0.000 0.000 0.000

Properties
formation energy: -42.0 kJ per mole of atoms
symmetry: No. 189

(5)
First-principles (GGA-PBE) data for a relaxed Ce3Tm4Se8 crystal, as listed in the Alexandria database.

abc: 8.193 8.193 8.156
angles: 119.78 119.78 90.08
Element x y z (fractional)
Ce: 0.000 0.000 0.000
Ce: 0.000 0.500 0.000
Ce: 0.500 0.000 0.000
Tm: 0.000 0.500 0.500
Tm: 0.500 0.000 0.500
Tm: 0.500 0.500 0.000
Tm: 0.500 0.500 0.500
Se: 0.252 0.748 0.500
Se: 0.256 0.256 0.511
Se: 0.256 0.744 0.000
Se: 0.258 0.258 0.005
Se: 0.742 0.742 0.995
Se: 0.744 0.256 0.000
Se: 0.744 0.744 0.489
Se: 0.748 0.252 0.500

Properties
energy relative to the elements, uncorrected: -1.791 eV per atom
symmetry: No. 12

Number 1: magnetization 0.34 μB per atom. Number 2: magnetization 0.00 μB per atom. Number 3: magnetization 0.10 μB per atom. Number 4: magnetization 0.00 μB per atom. Number 5: magnetization 0.24 μB per atom.